Density functional theory data (PBE) for a geometry-optimized Rb2ErInI6 structure.

Cell: 8.947 8.947 8.947 Å, 59.21 59.21 59.21°
Fractional positions:
Rb (0.000, 0.000, 0.000)
Rb (0.491, 0.491, 0.491)
Er (0.707, 0.707, 0.707)
In (0.212, 0.212, 0.212)
I (0.029, 0.474, 0.848)
I (0.380, 0.925, 0.571)
I (0.474, 0.848, 0.029)
I (0.571, 0.380, 0.925)
I (0.848, 0.029, 0.474)
I (0.925, 0.571, 0.380)

=====

Density functional theory data (PBE) for a geometry-optimized TaNb2Ir5Ru structure.

Cell: 7.576 7.576 7.576 Å, 120.66 120.66 88.87°
Fractional positions:
Ta (0.250, 0.250, 0.000)
Ta (0.750, 0.750, 0.000)
Nb (0.115, 0.615, 0.730)
Nb (0.385, 0.115, 0.500)
Nb (0.615, 0.885, 0.500)
Nb (0.885, 0.385, 0.270)
Ir (0.000, 0.000, 0.000)
Ir (0.065, 0.170, 0.500)
Ir (0.170, 0.670, 0.105)
Ir (0.330, 0.435, 0.500)
Ir (0.435, 0.935, 0.105)
Ir (0.500, 0.500, 0.000)
Ir (0.565, 0.065, 0.895)
Ir (0.670, 0.565, 0.500)
Ir (0.830, 0.330, 0.895)
Ir (0.935, 0.830, 0.500)
Ru (0.250, 0.750, 0.500)
Ru (0.750, 0.250, 0.500)

## Properties
* formation energy: 0.253 eV per atom

=====

Density functional theory data (PBE) for a geometry-optimized GdCuNiSn structure.

Cell: 4.665 4.665 4.665 Å, 60.00 60.00 60.00°
Fractional positions:
Gd (0.000, 0.000, 0.000)
Cu (0.750, 0.750, 0.750)
Ni (0.250, 0.250, 0.250)
Sn (0.500, 0.500, 0.500)

## Properties
* formation energy: -0.409 eV per atom

=====

Density functional theory data (PBE) for a geometry-optimized V2In2N structure.

Cell: 7.157 7.157 7.157 Å, 149.98 149.98 42.98°
Fractional positions:
V (0.073, 0.073, 0.000)
V (0.927, 0.927, 0.000)
In (0.250, 0.750, 0.500)
In (0.750, 0.250, 0.500)
N (0.500, 0.500, 0.000)

=====

Density functional theory data (PBE) for a geometry-optimized HoCdPtPb structure.

Cell: 5.030 5.030 5.030 Å, 60.00 60.00 60.00°
Fractional positions:
Ho (0.000, 0.000, 0.000)
Cd (0.250, 0.250, 0.250)
Pt (0.750, 0.750, 0.750)
Pb (0.500, 0.500, 0.500)

## Properties
* formation energy: -0.453 eV per atom

=====

Density functional theory data (PBE) for a geometry-optimized Ce5InGa2 structure.

Cell: 8.577 8.577 8.577 Å, 122.46 122.46 85.79°
Fractional positions:
Ce (0.000, 0.000, 0.000)
Ce (0.017, 0.517, 0.846)
Ce (0.171, 0.017, 0.500)
Ce (0.329, 0.829, 0.846)
Ce (0.483, 0.329, 0.500)
Ce (0.500, 0.500, 0.000)
Ce (0.517, 0.671, 0.500)
Ce (0.671, 0.171, 0.154)
Ce (0.829, 0.983, 0.500)
Ce (0.983, 0.483, 0.154)
In (0.250, 0.250, 0.000)
In (0.750, 0.750, 0.000)
Ga (0.123, 0.377, 0.500)
Ga (0.377, 0.877, 0.254)
Ga (0.623, 0.123, 0.746)
Ga (0.877, 0.623, 0.500)

## Properties
* formation energy: -0.300 eV per atom

=====

Density functional theory data (PBE) for a geometry-optimized CdCo2As structure.

Cell: 4.933 4.933 4.933 Å, 135.52 135.52 64.73°
Fractional positions:
Cd (0.000, 0.000, 0.000)
Co (0.250, 0.750, 0.500)
Co (0.500, 0.500, 0.000)
As (0.750, 0.250, 0.500)

## Properties
* formation energy: 0.359 eV per atom

=====

Density functional theory data (PBE) for a geometry-optimized In5PdRh4 structure.

Cell: 3.176 3.176 16.986 Å, 90.00 90.00 90.00°
Fractional positions:
In (0.000, 0.000, 0.000)
In (0.000, 0.000, 0.198)
In (0.000, 0.000, 0.396)
In (0.000, 0.000, 0.604)
In (0.000, 0.000, 0.802)
Pd (0.500, 0.500, 0.500)
Rh (0.500, 0.500, 0.099)
Rh (0.500, 0.500, 0.296)
Rh (0.500, 0.500, 0.704)
Rh (0.500, 0.500, 0.901)

## Properties
* formation energy: -0.434 eV per atom

=====

Density functional theory data (PBE) for a geometry-optimized YLuThIn structure.

Cell: 5.464 5.464 5.464 Å, 60.00 60.00 60.00°
Fractional positions:
Y (0.000, 0.000, 0.000)
Lu (0.750, 0.750, 0.750)
Th (0.500, 0.500, 0.500)
In (0.250, 0.250, 0.250)

## Properties
* formation energy: -0.089 eV per atom

=====

Density functional theory data (PBE) for a geometry-optimized Na2PuTlCl8 structure.

Cell: 6.337 8.896 6.486 Å, 90.00 94.67 90.00°
Fractional positions:
Na (0.000, 0.248, 0.000)
Na (0.000, 0.752, 0.000)
Pu (0.500, 0.000, 0.500)
Tl (0.500, 0.500, 0.500)
Cl (0.192, 0.500, 0.180)
Cl (0.226, 0.000, 0.182)
Cl (0.292, 0.215, 0.668)
Cl (0.292, 0.785, 0.668)
Cl (0.708, 0.215, 0.332)
Cl (0.708, 0.785, 0.332)
Cl (0.774, 0.000, 0.818)
Cl (0.808, 0.500, 0.820)

=====

Computed values of raw total energy (unit: eV/f.u.) for the preceding records, in sequence: -31.01; -83.30; -29.60; -25.24; -17.05; -40.86; -18.34; -52.63; -21.50; -51.69.